{"formula": "Li2SmScAu4", "functional": "PBE", "state": "optimized geometry", "lattice_angstrom": [[2.307, 1.332, 8.512], [-2.307, 1.332, 8.512], [0.000, -2.664, 8.512]], "species": ["Li", "Li", "Sm", "Sc", "Au", "Au", "Au", "Au"], "frac_coords": [[0.243, 0.243, 0.243], [0.757, 0.757, 0.757], [0.000, 0.000, 0.000], [0.500, 0.500, 0.500], [0.123, 0.123, 0.123], [0.391, 0.391, 0.391], [0.609, 0.609, 0.609], [0.877, 0.877, 0.877]], "rho_g_cm3": 10.55, "final_energy_ev_per_atom": -4.188, "formation_energy_mev_per_atom": -689, "magmom_total_mub_per_fu": 0.0}

{"formula": "SrEuTlBi", "functional": "PBE", "state": "optimized geometry", "lattice_angstrom": [[0.000, 4.083, 4.083], [4.083, 0.000, 4.083], [4.083, 4.083, 0.000]], "species": ["Sr", "Eu", "Tl", "Bi"], "frac_coords": [[0.000, 0.000, 0.000], [0.500, 0.500, 0.500], [0.250, 0.250, 0.250], [0.750, 0.750, 0.750]], "rho_g_cm3": 7.97, "final_energy_ev_per_atom": -5.129, "formation_energy_mev_per_atom": -578, "magmom_total_mub_per_fu": 7.2}

{"formula": "Tb2LuTa", "functional": "PBE", "state": "optimized geometry", "lattice_angstrom": [[1.631, 0.942, 11.562], [-1.631, 0.942, 11.562], [0.000, -1.884, 11.562]], "species": ["Tb", "Tb", "Lu", "Ta"], "frac_coords": [[0.084, 0.084, 0.084], [0.916, 0.916, 0.916], [0.500, 0.500, 0.500], [0.000, 0.000, 0.000]], "rho_g_cm3": 10.50, "final_energy_ev_per_atom": -5.822, "formation_energy_mev_per_atom": 587, "magmom_total_mub_per_fu": 0.0}

{"formula": "CaYBr2", "functional": "PBE", "state": "optimized geometry", "lattice_angstrom": [[0.000, 3.991, 3.991], [3.991, 0.000, 3.991], [3.991, 3.991, 0.000]], "species": ["Ca", "Y", "Br", "Br"], "frac_coords": [[0.000, 0.000, 0.000], [0.250, 0.250, 0.250], [0.500, 0.500, 0.500], [0.750, 0.750, 0.750]], "rho_g_cm3": 3.77, "final_energy_ev_per_atom": -3.270, "magmom_total_mub_per_fu": 2.8}

{"formula": "V3Fe2Tc", "functional": "PBE", "state": "optimized geometry", "lattice_angstrom": [[2.082, -6.232, 0.000], [2.082, 6.232, 0.000], [0.000, 0.000, 5.832]], "species": ["V", "V", "V", "V", "V", "V", "Fe", "Fe", "Fe", "Fe", "Tc", "Tc"], "frac_coords": [[0.000, 0.000, 0.244], [0.000, 0.000, 0.756], [0.335, 0.665, 0.244], [0.335, 0.665, 0.756], [0.665, 0.335, 0.244], [0.665, 0.335, 0.756], [0.168, 0.832, 0.000], [0.500, 0.500, 0.000], [0.500, 0.500, 0.500], [0.832, 0.168, 0.000], [0.165, 0.835, 0.500], [0.835, 0.165, 0.500]], "rho_g_cm3": 7.95, "final_energy_ev_per_atom": -9.297, "formation_energy_mev_per_atom": -189, "magmom_total_mub_per_fu": 1.5}

{"formula": "Tl2SnPbO6", "functional": "PBE", "state": "optimized geometry", "lattice_angstrom": [[2.925, 1.688, 5.188], [-2.925, 1.688, 5.188], [0.000, -3.377, 5.188]], "species": ["Tl", "Tl", "Sn", "Pb", "O", "O", "O", "O", "O", "O"], "frac_coords": [[0.000, 0.000, 0.000], [0.489, 0.489, 0.489], [0.701, 0.701, 0.701], [0.220, 0.220, 0.220], [0.072, 0.436, 0.786], [0.324, 0.870, 0.635], [0.436, 0.786, 0.072], [0.635, 0.324, 0.870], [0.786, 0.072, 0.436], [0.870, 0.635, 0.324]], "rho_g_cm3": 8.97, "final_energy_ev_per_atom": -5.228, "magmom_total_mub_per_fu": 0.0}